8
Lattice="-0.5664 3.2670 0.7068 -1.3896 0.4218 -3.0634 -10.5630 -2.7849 4.4082" Properties=species:S:1:pos:R:3 comment="GGA-PBE TaAsPO, optimized geometry" space_group="P4/nmm (129)" e_tot_ev_per_atom=-7.4240 pbc="T T T"
As -5.2815 -1.3925 2.2041
O -0.9780 1.8444 -1.1783
Ta -1.8960 -0.1058 -1.0304
P -2.5527 1.0351 1.3005
Ta -9.6450 -0.8347 4.2603
O 0.0000 0.0000 0.0000
As -6.2595 0.4519 1.0258
P -8.9883 -1.9757 1.9294


10
Lattice="-2.6467 4.5843 0.0000 2.6467 4.5843 0.0000 0.0000 3.0562 -4.9696" Properties=species:S:1:pos:R:3 comment="GGA-PBE NdAlO3, optimized geometry" space_group="R-3 (148)" e_tot_ev_per_atom=-7.6921 pbc="T T T"
O 1.1063 4.8685 -3.8712
Al 0.0000 6.1124 -4.8391
Nd 0.0000 9.1685 -1.8818
O 1.6304 6.4485 -1.0984
O -0.5241 4.5324 -1.0984
O -1.1063 7.3563 -1.0984
O -1.6304 5.7763 -3.8712
Nd 0.0000 3.0562 -3.0878
Al 0.0000 6.1124 -0.1305
O 0.5241 7.6924 -3.8712